A geometry-optimized Nb2VAuS structure. Source: the Alexandria database, functional PBE-GGA.

Computed properties:
DFT total energy = -6.7844 eV per atom
Total magnetic moment = 0.001 μB/atom
Density of states at the Fermi level = 8.074 states/eV/cell
Calculated volume = 19.038 Å³ per atom
SG = P4/mmm

Lattice parameters (Å, degrees): 4.5628 4.5722 4.5628 90.00 90.00 90.00
Element x y z (fractional)
Nb 0.0000 0.0000 0.5000
Nb 0.5000 0.0000 0.0000
Au 0.0000 0.5000 0.0000
S 0.0000 0.0000 0.0000
V 0.5000 0.5000 0.5000